(1)
# HfZr2MnGa | Alexandria via LeMat-Bulk | PBE-GGA | relaxed
data_HfZr2MnGa
_space_group_name_H-M_alt 'P 4/m m m'
_space_group_IT_number 123
_space_group_name_Hall '-P 4 2'
_cell_length_a 5.211
_cell_length_b 5.211
_cell_length_c 4.554
_cell_angle_alpha 90.00
_cell_angle_beta 90.00
_cell_angle_gamma 90.00
loop_
_atom_site_label
_atom_site_type_symbol
_atom_site_fract_x
_atom_site_fract_y
_atom_site_fract_z
_atom_site_occupancy
Hf1 Hf 0.000 0.000 0.000 1
Zr1 Zr 0.000 0.500 0.000 1
Mn1 Mn 0.000 0.000 0.500 1
Ga1 Ga 0.500 0.500 0.500 1
# * relative energy among the computed polymorphs: 410 meV per atom


(2)
# HfGa2Mo2 | Alexandria via LeMat-Bulk | PBE-GGA | relaxed
data_HfGa2Mo2
_space_group_name_H-M_alt 'P 4/m b m'
_space_group_IT_number 127
_space_group_name_Hall '-P 4 2ab'
_cell_length_a 7.634
_cell_length_b 7.634
_cell_length_c 2.936
_cell_angle_alpha 90.00
_cell_angle_beta 90.00
_cell_angle_gamma 90.00
loop_
_atom_site_label
_atom_site_type_symbol
_atom_site_fract_x
_atom_site_fract_y
_atom_site_fract_z
_atom_site_occupancy
Hf1 Hf 0.000 0.000 0.000 1
Ga1 Ga 0.180 0.320 0.500 1
Mo1 Mo 0.115 0.615 0.000 1
# * relative energy among the computed polymorphs: 293 meV per atom


(3)
# Hf2GaMo

A geometry-optimized Hf2GaMo structure (PBE-GGA, Alexandria via LeMat-Bulk).

Cell and atoms, written as CIF:
```
data_Hf2GaMo
_space_group_name_H-M_alt 'R -3 m'
_space_group_IT_number 166
_space_group_name_Hall '-R 3 2"'
_cell_length_a 3.2418
_cell_length_b 3.2418
_cell_length_c 25.7672
_cell_angle_alpha 90.00
_cell_angle_beta 90.00
_cell_angle_gamma 120.00
loop_
_atom_site_label
_atom_site_type_symbol
_atom_site_fract_x
_atom_site_fract_y
_atom_site_fract_z
_atom_site_occupancy
Hf1 Hf 0.0000 0.0000 0.2460 1
Ga1 Ga 0.0000 0.0000 0.0000 1
Mo1 Mo 0.0000 0.0000 0.5000 1
```


(4)
# HfGa3Mo2

A geometry-optimized HfGa3Mo2 structure (PBE-GGA, Alexandria via LeMat-Bulk).

Cell and atoms, written as CIF:
```
data_HfGa3Mo2
_space_group_name_H-M_alt 'R -3 m'
_space_group_IT_number 166
_space_group_name_Hall '-R 3 2"'
_cell_length_a 5.6297
_cell_length_b 5.6297
_cell_length_c 22.0587
_cell_angle_alpha 90.00
_cell_angle_beta 90.00
_cell_angle_gamma 120.00
loop_
_atom_site_label
_atom_site_type_symbol
_atom_site_fract_x
_atom_site_fract_y
_atom_site_fract_z
_atom_site_occupancy
Hf1 Hf 0.0000 0.0000 0.2089 1
Ga1 Ga 0.0019 0.5010 0.2330 1
Mo1 Mo 0.0000 0.0000 0.0000 1
Mo2 Mo 0.0000 0.5000 0.0000 1
```


Q: Which formation enthalpy at 0 K values were calculated for the entries above? A: 1.12 0.04 -0.06 -0.15, in eV per atom.